Below is TcPSe2 after structural relaxation, with properties calculated at the PBE-GGA level.

Calculated values
Uncorrected energy (eV for the cell shown): -22.5
Calculated density (g cm⁻³): 6.4
Space group: Pm
Formation energy without anion corrections (eV/atom): 0.06
Crystal system: monoclinic

Lattice parameters (Å, degrees): 4.174 4.234 4.415 90.00 108.08 90.00
Fractional positions:
Tc 0.000 0.000 0.000
P 0.801 0.500 0.092
Se 0.235 0.500 0.777
Se 0.591 0.000 0.384

=====

Below is TcPSe after structural relaxation, with properties calculated at the PBE-GGA level.

Calculated values
Uncorrected energy (eV for the cell shown): -39.1
Calculated density (g cm⁻³): 6.6
Space group: I4mm
Formation energy without anion corrections (eV/atom): -0.09
Crystal system: tetragonal

Lattice parameters (Å, degrees): 2.964 2.964 11.896 90.00 90.00 90.00
Fractional positions:
Tc 0.000 0.000 0.000
Tc 0.500 0.500 0.500
P 0.000 0.000 0.380
P 0.500 0.500 0.880
Se 0.000 0.000 0.635
Se 0.500 0.500 0.135

=====

Below is Tc2PSe after structural relaxation, with properties calculated at the PBE-GGA level.

Calculated values
Uncorrected energy (eV for the cell shown): -60.8
Calculated density (g cm⁻³): 8.0
Space group: Imm2
Formation energy without anion corrections (eV/atom): -0.19
Crystal system: orthorhombic

Lattice parameters (Å, degrees): 3.091 3.181 12.837 90.00 90.00 90.00
Fractional positions:
Tc 0.000 0.000 0.000
Tc 0.000 0.500 0.298
Tc 0.500 0.000 0.798
Tc 0.500 0.500 0.500
P 0.000 0.000 0.436
P 0.500 0.500 0.936
Se 0.000 0.500 0.689
Se 0.500 0.000 0.189

=====

Below is Tc2P2Se after structural relaxation, with properties calculated at the PBE-GGA level.

Calculated values
Uncorrected energy (eV for the cell shown): -71.2
Calculated density (g cm⁻³): 7.6
Space group: P4/mbm
Formation energy without anion corrections (eV/atom): -0.11
Crystal system: tetragonal

Lattice parameters (Å, degrees): 7.084 7.084 2.939 90.00 90.00 90.00
Fractional positions:
Tc 0.147 0.353 0.000
Tc 0.353 0.853 0.000
Tc 0.647 0.147 0.000
Tc 0.853 0.647 0.000
P 0.136 0.636 0.500
P 0.364 0.136 0.500
P 0.636 0.864 0.500
P 0.864 0.364 0.500
Se 0.000 0.000 0.000
Se 0.500 0.500 0.000

=====

Below is TcPSe2 after structural relaxation, with properties calculated at the PBE-GGA level.

Calculated values
Uncorrected energy (eV for the cell shown): -45.2
Calculated density (g cm⁻³): 5.7
Space group: C2/m
Formation energy without anion corrections (eV/atom): 0.04
Crystal system: monoclinic

Lattice parameters (Å, degrees): 13.826 2.992 4.024 90.00 93.93 90.00
Fractional positions:
Tc 0.000 0.000 0.000
Tc 0.500 0.500 0.000
P 0.000 0.500 0.500
P 0.500 0.000 0.500
Se 0.148 0.500 0.197
Se 0.352 0.000 0.803
Se 0.648 0.000 0.197
Se 0.852 0.500 0.803

=====

Below is Tc4PSe after structural relaxation, with properties calculated at the PBE-GGA level.

Calculated values
Uncorrected energy (eV for the cell shown): -45.6
Calculated density (g cm⁻³): 8.6
Space group: F-43m
Formation energy without anion corrections (eV/atom): 0.80
Crystal system: cubic

Lattice parameters (Å, degrees): 5.158 5.158 5.158 60.00 60.00 60.00
Fractional positions:
Tc 0.125 0.125 0.125
Tc 0.125 0.125 0.625
Tc 0.125 0.625 0.125
Tc 0.625 0.125 0.125
P 0.750 0.750 0.750
Se 0.500 0.500 0.500

=====

Below is TcPSe2 after structural relaxation, with properties calculated at the PBE-GGA level.

Calculated values
Uncorrected energy (eV for the cell shown): -60.2
Calculated density (g cm⁻³): 6.1
Space group: R-3m
Formation energy without anion corrections (eV/atom): 0.67
Crystal system: trigonal

Lattice parameters (Å, degrees): 3.388 3.388 23.554 90.00 90.00 120.00
Fractional positions:
Tc 0.000 0.000 0.000
Tc 0.333 0.667 0.667
Tc 0.667 0.333 0.333
P 0.000 0.000 0.500
P 0.333 0.667 0.167
P 0.667 0.333 0.833
Se 0.000 0.000 0.100
Se 0.000 0.000 0.900
Se 0.333 0.667 0.567
Se 0.333 0.667 0.766
Se 0.667 0.333 0.234
Se 0.667 0.333 0.433

=====

Below is Tc2PSe after structural relaxation, with properties calculated at the PBE-GGA level.

Calculated values
Uncorrected energy (eV for the cell shown): -30.2
Calculated density (g cm⁻³): 7.4
Space group: P4mm
Formation energy without anion corrections (eV/atom): -0.15
Crystal system: tetragonal

Lattice parameters (Å, degrees): 2.960 2.960 7.850 90.00 90.00 90.00
Fractional positions:
Tc 0.000 0.000 0.000
Tc 0.500 0.500 0.244
P 0.000 0.000 0.402
Se 0.500 0.500 0.812

=====

Below is TcPSe after structural relaxation, with properties calculated at the PBE-GGA level.

Calculated values
Uncorrected energy (eV for the cell shown): -39.7
Calculated density (g cm⁻³): 5.9
Space group: P-1
Formation energy without anion corrections (eV/atom): -0.20
Crystal system: triclinic

Lattice parameters (Å, degrees): 3.180 5.809 6.965 65.44 83.80 89.96
Fractional positions:
Tc 0.000 0.248 0.000
Tc 0.000 0.752 0.000
P 0.458 0.906 0.189
P 0.542 0.094 0.811
Se 0.060 0.655 0.688
Se 0.940 0.345 0.312

=====

Below is Tc2PSe after structural relaxation, with properties calculated at the PBE-GGA level.

Calculated values
Uncorrected energy (eV for the cell shown): -108.4
Calculated density (g cm⁻³): 8.4
Space group: F-43m
Formation energy without anion corrections (eV/atom): 0.63
Crystal system: cubic

Lattice parameters (Å, degrees): 6.235 6.235 6.235 90.00 90.00 90.00
Fractional positions:
Tc 0.000 0.000 0.000
Tc 0.000 0.500 0.500
Tc 0.250 0.250 0.250
Tc 0.250 0.750 0.750
Tc 0.500 0.000 0.500
Tc 0.500 0.500 0.000
Tc 0.750 0.250 0.750
Tc 0.750 0.750 0.250
P 0.000 0.000 0.500
P 0.000 0.500 0.000
P 0.500 0.000 0.000
P 0.500 0.500 0.500
Se 0.250 0.250 0.750
Se 0.250 0.750 0.250
Se 0.750 0.250 0.250
Se 0.750 0.750 0.750

=====

Below is Th8TcP3Se4 after structural relaxation, with properties calculated at the PBE-GGA level.

Calculated values
Uncorrected energy (eV for the cell shown): -122.2
Calculated density (g cm⁻³): 9.4
Space group: R-3m
Formation energy without anion corrections (eV/atom): -1.40
Crystal system: trigonal

Lattice parameters (Å, degrees): 8.452 8.452 8.452 59.15 59.15 59.15
Fractional positions:
Th 0.243 0.243 0.243
Th 0.249 0.739 0.739
Th 0.261 0.261 0.751
Th 0.261 0.751 0.261
Th 0.739 0.249 0.739
Th 0.739 0.739 0.249
Th 0.751 0.261 0.261
Th 0.757 0.757 0.757
Tc 0.500 0.500 0.500
P 0.000 0.000 0.500
P 0.000 0.500 0.000
P 0.500 0.000 0.000
Se 0.000 0.000 0.000
Se 0.000 0.500 0.500
Se 0.500 0.000 0.500
Se 0.500 0.500 0.000

=====

Below is Th8Tc3PSe4 after structural relaxation, with properties calculated at the PBE-GGA level.

Calculated values
Uncorrected energy (eV for the cell shown): -125.3
Calculated density (g cm⁻³): 9.6
Space group: R-3m
Formation energy without anion corrections (eV/atom): -0.97
Crystal system: trigonal

Lattice parameters (Å, degrees): 8.682 8.682 8.682 57.03 57.03 57.03
Fractional positions:
Th 0.229 0.744 0.744
Th 0.240 0.240 0.240
Th 0.256 0.256 0.771
Th 0.256 0.771 0.256
Th 0.744 0.229 0.744
Th 0.744 0.744 0.229
Th 0.760 0.760 0.760
Th 0.771 0.256 0.256
Tc 0.000 0.000 0.500
Tc 0.000 0.500 0.000
Tc 0.500 0.000 0.000
P 0.500 0.500 0.500
Se 0.000 0.000 0.000
Se 0.000 0.500 0.500
Se 0.500 0.000 0.500
Se 0.500 0.500 0.000